Record 1
A relaxed BaMgSn crystal, computed with PBE.

The structure belongs to space group P-6m2 (No. 187); the cell edges are 4.9423, 4.9423 and 5.0981 Å and the angles 90.00°, 90.00° and 120.00°. The distinct sites, in fractional coordinates, are Ba at (0.0000, 0.0000, 0.0000), Mg at (0.3333, 0.6667, 0.5000) and Sn at (0.6667, 0.3333, 0.5000).

As for the total magnetic moment: 0.0 μB/cell. The formation energy is -0.474 eV per atom.

***

Record 2
A relaxed BaMgSn4 crystal, computed with PBE.

The structure belongs to space group Cmcm (No. 63); the cell edges are 5.809, 17.262 and 7.510 Å and the angles 90.00°, 90.00° and 90.00°. The distinct sites, in fractional coordinates, are Ba at (0.000, 0.102, 0.250), Mg at (0.000, 0.365, 0.250), Sn at (0.000, 0.097, 0.750), Sn at (0.000, 0.259, 0.560) and Sn at (0.000, 0.500, 0.000).

As for the total magnetic moment: 0.0 μB/cell. The value obtained for the excess energy over the best structure of this formula in the dataset is 26 meV/atom. The formation energy is -0.208 eV per atom.

***

Record 3
A relaxed BaMg5Sn2 crystal, computed with PBE.

The structure belongs to space group Immm (No. 71); the cell edges are 4.633, 8.497 and 11.283 Å and the angles 90.00°, 90.00° and 90.00°. The distinct sites, in fractional coordinates, are Ba at (0.000, 0.000, 0.000), Mg at (0.000, 0.181, 0.358), Mg at (0.000, 0.500, 0.000) and Sn at (0.000, 0.500, 0.255).

As for the total magnetic moment: 0.0 μB/cell. The formation energy is -0.287 eV per atom.

***

Record 4
A relaxed BaMg6Sn4 crystal, computed with PBE.

The structure belongs to space group P-6m2 (No. 187); the cell edges are 8.5754, 8.5754 and 4.6253 Å and the angles 90.00°, 90.00° and 120.00°. The distinct sites, in fractional coordinates, are Ba at (0.0000, 0.0000, 0.0000), Mg at (0.0742, 0.5371, 0.0000), Mg at (0.4055, 0.2028, 0.5000), Sn at (0.1941, 0.3883, 0.5000) and Sn at (0.6667, 0.3333, 0.0000).

As for the total magnetic moment: 0.0 μB/cell. The formation energy is -0.264 eV per atom.

***

Record 5
A relaxed BaMgSn crystal, computed with PBE.

The structure belongs to space group P4/nmm (No. 129, origin choice 2); the cell edges are 4.957, 4.957 and 8.202 Å and the angles 90.00°, 90.00° and 90.00°. The distinct sites, in fractional coordinates, are Ba at (0.250, 0.250, 0.170), Mg at (0.250, 0.750, 0.500) and Sn at (0.250, 0.250, 0.713).

As for the total magnetic moment: 0.0 μB/cell. The formation energy is -0.585 eV per atom.

***

Record 6
A relaxed BaMgSn2 crystal, computed with PBE.

The structure belongs to space group Pnma (No. 62); the cell edges are 8.465, 4.802 and 12.673 Å and the angles 90.00°, 90.00° and 90.00°. The distinct sites, in fractional coordinates, are Ba at (0.145, 0.250, 0.133), Mg at (0.019, 0.250, 0.645), Sn at (0.160, 0.250, 0.433) and Sn at (0.168, 0.250, 0.848).

As for the total magnetic moment: 0.0 μB/cell. The formation energy is -0.487 eV per atom.

***

Record 7
A relaxed BaMg3Sn3 crystal, computed with PBE.

The structure belongs to space group Pm-3n (No. 223); the cell edges are 7.910, 7.910 and 7.910 Å and the angles 90.00°, 90.00° and 90.00°. The distinct sites, in fractional coordinates, are Ba at (0.000, 0.000, 0.000), Mg at (0.000, 0.250, 0.500) and Sn at (0.000, 0.500, 0.250).

As for the total magnetic moment: 0.0 μB/cell. The value obtained for the excess energy over the best structure of this formula in the dataset is 307 meV/atom. The formation energy is -0.009 eV per atom.

***

Record 8
A relaxed Ba2MgSn crystal, computed with PBE.

The structure belongs to space group R-3m (No. 166, hexagonal axes); the cell edges are 3.9351, 3.9351 and 38.8494 Å and the angles 90.00°, 90.00° and 120.00°. The distinct sites, in fractional coordinates, are Ba at (0.0000, 0.0000, 0.0903), Mg at (0.0000, 0.0000, 0.5000) and Sn at (0.0000, 0.0000, 0.0000).

As for the total magnetic moment: 0.0 μB/cell. The formation energy is 0.244 eV per atom.

***

Record 9
A relaxed BaMgSn2 crystal, computed with PBE.

The structure belongs to space group P4/mmm (No. 123); the cell edges are 5.015, 5.015 and 4.864 Å and the angles 90.00°, 90.00° and 90.00°. The distinct sites, in fractional coordinates, are Ba at (0.000, 0.000, 0.000), Mg at (0.500, 0.500, 0.000) and Sn at (0.000, 0.500, 0.500).

As for the total magnetic moment: 0.0 μB/cell. The formation energy is -0.324 eV per atom.

***

Record 10
A relaxed Ba2Mg3Sn4 crystal, computed with PBE.

The structure belongs to space group Cmce (No. 64); the cell edges are 6.767, 17.944 and 8.887 Å and the angles 90.00°, 90.00° and 90.00°. The distinct sites, in fractional coordinates, are Ba at (0.000, 0.108, 0.095), Mg at (0.000, 0.000, 0.500), Mg at (0.250, 0.223, 0.750), Sn at (0.000, 0.182, 0.480) and Sn at (0.250, 0.059, 0.750).

As for the total magnetic moment: 0.0 μB/cell. The formation energy is -0.397 eV per atom.

***

Record 11
A relaxed BaMg3Sn2 crystal, computed with PBE.

The structure belongs to space group C2/m (No. 12); the cell edges are 18.407, 4.759 and 8.852 Å and the angles 90.00°, 115.36° and 90.00°. The distinct sites, in fractional coordinates, are Ba at (0.145, 0.000, 0.062), Mg at (0.045, 0.000, 0.384), Mg at (0.091, 0.500, 0.662), Mg at (0.183, 0.500, 0.449), Sn at (0.016, 0.500, 0.178) and Sn at (0.198, 0.000, 0.691).

As for the total magnetic moment: 0.0 μB/cell. The formation energy is -0.393 eV per atom.

***

Record 12
A relaxed BaMg6Sn crystal, computed with PBE.

The structure belongs to space group Amm2 (No. 38); the cell edges are 4.966, 6.388 and 14.242 Å and the angles 90.00°, 90.00° and 90.00°. The distinct sites, in fractional coordinates, are Ba at (0.000, 0.000, 0.000), Mg at (0.000, 0.000, 0.415), Mg at (0.000, 0.234, 0.727), Mg at (0.500, 0.000, 0.576), Mg at (0.500, 0.243, 0.854) and Sn at (0.500, 0.000, 0.172).

As for the total magnetic moment: 0.0 μB/cell. The value obtained for the excess energy over the best structure of this formula in the dataset is 0 meV/atom. The formation energy is -0.050 eV per atom.

***

Record 13
A relaxed Ba2MgSn crystal, computed with PBE.

The structure belongs to space group P4/mmm (No. 123); the cell edges are 6.031, 6.031 and 4.338 Å and the angles 90.00°, 90.00° and 90.00°. The distinct sites, in fractional coordinates, are Ba at (0.000, 0.500, 0.000), Mg at (0.000, 0.000, 0.500) and Sn at (0.500, 0.500, 0.500).

As for the total magnetic moment: 0.0 μB/cell. The formation energy is -0.338 eV per atom.

***

Record 14
A relaxed BaMgSn2 crystal, computed with PBE.

The structure belongs to space group R-3m (No. 166, hexagonal axes); the cell edges are 4.9257, 4.9257 and 18.6886 Å and the angles 90.00°, 90.00° and 120.00°. The distinct sites, in fractional coordinates, are Ba at (0.0000, 0.0000, 0.0000), Mg at (0.0000, 0.0000, 0.5000) and Sn at (0.0000, 0.0000, 0.2154).

As for the total magnetic moment: 0.0 μB/cell. The formation energy is -0.381 eV per atom.

***

Record 15
A relaxed Ba2MgSn12 crystal, computed with PBE.

The structure belongs to space group P4/nbm (No. 125, origin choice 2); the cell edges are 7.190, 7.190 and 18.495 Å and the angles 90.00°, 90.00° and 90.00°. The distinct sites, in fractional coordinates, are Ba at (0.250, 0.750, 0.249), Mg at (0.250, 0.750, 0.500), Sn at (0.000, 0.000, 0.408), Sn at (0.091, 0.591, 0.066), Sn at (0.250, 0.250, 0.148) and Sn at (0.250, 0.250, 0.311).

As for the total magnetic moment: 0.0 μB/cell. The formation energy is -0.208 eV per atom.

***

Record 16
A relaxed BaMg3Sn3 crystal, computed with PBE.

The structure belongs to space group R-3 (No. 148, hexagonal axes); the cell edges are 7.3421, 7.3421 and 27.3201 Å and the angles 90.00°, 90.00° and 120.00°. The distinct sites, in fractional coordinates, are Ba at (0.0000, 0.0000, 0.1799), Mg at (0.0478, 0.7787, 0.6960) and Sn at (0.0549, 0.7826, 0.5820).

As for the total magnetic moment: 0.0 μB/cell. The value obtained for the excess energy over the best structure of this formula in the dataset is 107 meV/atom. The formation energy is -0.209 eV per atom.

***

Record 17
A relaxed BaMg2Sn crystal, computed with PBE.

The structure belongs to space group P4/nmm (No. 129, origin choice 2); the cell edges are 4.803, 4.803 and 11.309 Å and the angles 90.00°, 90.00° and 90.00°. The distinct sites, in fractional coordinates, are Ba at (0.250, 0.250, 0.244), Mg at (0.250, 0.250, 0.931), Mg at (0.250, 0.750, 0.500) and Sn at (0.250, 0.250, 0.657).

As for the total magnetic moment: 0.0 μB/cell. The formation energy is -0.338 eV per atom.

***

Record 18
A relaxed Ba2Mg2Sn crystal, computed with PBE.

The structure belongs to space group P4/mbm (No. 127); the cell edges are 7.947, 7.947 and 5.647 Å and the angles 90.00°, 90.00° and 90.00°. The distinct sites, in fractional coordinates, are Ba at (0.185, 0.315, 0.000), Mg at (0.129, 0.629, 0.500) and Sn at (0.000, 0.000, 0.500).

As for the total magnetic moment: 0.0 μB/cell. The formation energy is -0.218 eV per atom.

***

Record 19
A relaxed BaMg6Sn crystal, computed with PBE.

The structure belongs to space group Amm2 (No. 38); the cell edges are 4.982, 6.320 and 14.452 Å and the angles 90.00°, 90.00° and 90.00°. The distinct sites, in fractional coordinates, are Ba at (0.000, 0.000, 0.000), Mg at (0.000, 0.238, 0.727), Mg at (0.500, 0.000, 0.171), Mg at (0.500, 0.000, 0.593), Mg at (0.500, 0.243, 0.862) and Sn at (0.000, 0.000, 0.409).

As for the total magnetic moment: 0.0 μB/cell. The value obtained for the excess energy over the best structure of this formula in the dataset is 12 meV/atom. The formation energy is -0.037 eV per atom.

***

Record 20
A relaxed BaMg2Sn crystal, computed with PBE.

The structure belongs to space group I-42d (No. 122); the cell edges are 5.529, 5.529 and 20.235 Å and the angles 90.00°, 90.00° and 90.00°. The distinct sites, in fractional coordinates, are Ba at (0.000, 0.000, 0.000), Mg at (0.039, 0.250, 0.625) and Sn at (0.000, 0.000, 0.500).

As for the total magnetic moment: 0.0 μB/cell. The formation energy is -0.049 eV per atom.